# 1
KY2Sc | PBEsol | optimized geometry

Values from the calculation:
DOS(E_F), states/eV/f.u.: 7.9
Polymorph energy (0 for the lowest one), meV per atom: 174
Formation energy from the elements, kJ per mole of atoms: 45.8

a = 6.089 Å, b = 6.089 Å, c = 6.890 Å
α = 97.31°, β = 97.31°, γ = 32.36°
Sites, in units of the cell vectors:
K 0.000 0.000 0.000
Y 0.237 0.237 0.695
Y 0.494 0.494 0.491
Sc 0.759 0.759 0.297



# 2
CdTe2Se | PBEsol | optimized geometry

Values from the calculation:
DOS(E_F), states/eV/f.u.: 2.9
E_form (uncorrected), eV per atom: 0.00

a = 7.489 Å, b = 7.489 Å, c = 7.489 Å
α = 32.11°, β = 32.11°, γ = 32.11°
Sites, in units of the cell vectors:
Cd 0.000 0.000 0.000
Te 0.252 0.252 0.252
Te 0.748 0.748 0.748
Se 0.500 0.500 0.500



# 3
Nd2CuGe2O8 | PBEsol | optimized geometry

Values from the calculation:
E_form (uncorrected), eV per atom: -2.27

a = 9.067 Å, b = 9.067 Å, c = 5.143 Å
α = 106.04°, β = 106.04°, γ = 114.86°
Sites, in units of the cell vectors:
Nd 0.120 0.880 0.000
Nd 0.378 0.620 0.513
Nd 0.620 0.378 0.513
Nd 0.880 0.120 0.000
Cu 0.086 0.499 0.815
Cu 0.499 0.086 0.815
Ge 0.260 0.260 0.809
Ge 0.530 0.952 0.267
Ge 0.754 0.754 0.217
Ge 0.952 0.530 0.267
O 0.073 0.420 0.112
O 0.088 0.088 0.842
O 0.149 0.666 0.630
O 0.171 0.360 0.608
O 0.327 0.794 0.255
O 0.360 0.171 0.608
O 0.420 0.073 0.112
O 0.421 0.421 0.189
O 0.580 0.924 0.948
O 0.589 0.589 0.847
O 0.663 0.848 0.433
O 0.666 0.149 0.630
O 0.794 0.327 0.255
O 0.848 0.663 0.433
O 0.924 0.580 0.948
O 0.924 0.924 0.182



Number 1: ρ 3.21 g cm⁻³. Number 2: ρ 7.03 g cm⁻³. Number 3: ρ 6.31 g cm⁻³.